VASP calculation (SCAN) on a crystal of YBeSi relaxed with PBEsol. Values from VASP.

Computed properties:
energy relative to the elements, uncorrected	-0.91	eV/f.u.
theoretical density	4.1	g/cm3
total magnetization	0.00	μB per formula unit
N(E_F)	1.059	states/eV per cell
space-group type	F-43m (216)
final energy	-14.37	eV per atom

```
&SYSTEM
  ibrav = 0, nat = 3, ntyp = 3
/
ATOMIC_SPECIES
Y 88.91 Y.upf
Be 9.01 Be.upf
Si 28.09 Si.upf
CELL_PARAMETERS angstrom
0.0000 2.9435 2.9435
2.9435 0.0000 2.9435
2.9435 2.9435 0.0000
ATOMIC_POSITIONS angstrom
Y 0.0000 0.0000 0.0000
Be 4.4153 4.4153 4.4153
Si 2.9435 2.9435 2.9435
```